No. 1
Rb3Te2Au | the Alexandria database | PBE | relaxed; total energy = -2.95 eV/atom; E_form (uncorrected) = -0.872 eV/atom; space group = P2_1/c
1.0
8.5778 0.0000 0.0000
0.0000 12.5337 0.0000
-3.9479 0.0000 10.7967
Rb Te Au
12 8 4
Direct
0.1950 0.0160 0.3910 Rb
0.1950 0.4840 0.8910 Rb
0.2431 0.0729 0.9736 Rb
0.2431 0.4271 0.4736 Rb
0.2956 0.7345 0.1859 Rb
0.2956 0.7655 0.6859 Rb
0.7044 0.2345 0.3141 Rb
0.7044 0.2655 0.8141 Rb
0.7569 0.5729 0.5264 Rb
0.7569 0.9271 0.0264 Rb
0.8050 0.5160 0.1090 Rb
0.8050 0.9840 0.6090 Rb
0.0333 0.6972 0.3724 Te
0.0333 0.8028 0.8724 Te
0.4561 0.0301 0.7277 Te
0.4561 0.4699 0.2277 Te
0.5439 0.5301 0.7723 Te
0.5439 0.9699 0.2723 Te
0.9667 0.1972 0.1276 Te
0.9667 0.3028 0.6276 Te
0.2148 0.1702 0.6728 Au
0.2148 0.3298 0.1728 Au
0.7852 0.6702 0.8272 Au
0.7852 0.8298 0.3272 Au

***

No. 2
BaSr2CaRh | the Alexandria database | PBE | relaxed; total energy = -3.05 eV/atom; space group = P4/mmm; ΔE_f = -0.119 eV/atom
1.0
5.9817 0.0000 0.0000
0.0000 5.9817 0.0000
0.0000 0.0000 6.0542
Ba Sr Ca Rh
1 2 1 1
Direct
0.0000 0.0000 0.0000 Ba
0.0000 0.5000 0.5000 Sr
0.5000 0.0000 0.5000 Sr
0.5000 0.5000 0.0000 Ca
0.0000 0.0000 0.5000 Rh

***

No. 3
ScPt2Pb2 | the Alexandria database | PBE | relaxed; total energy = -5.58 eV/atom; space group = P4/mbm; ΔE_f = -0.412 eV/atom
1.0
7.0620 0.0000 0.0000
0.0000 7.0620 0.0000
0.0000 0.0000 4.4804
Sc Pt Pb
2 4 4
Direct
0.0000 0.0000 0.0000 Sc
0.5000 0.5000 0.0000 Sc
0.1367 0.3633 0.0000 Pt
0.3633 0.8633 0.0000 Pt
0.6367 0.1367 0.0000 Pt
0.8633 0.6367 0.0000 Pt
0.1758 0.6758 0.5000 Pb
0.3242 0.1758 0.5000 Pb
0.6758 0.8242 0.5000 Pb
0.8242 0.3242 0.5000 Pb

***

No. 4
Cd2SbMo | the Alexandria database | PBE | relaxed; total energy = -3.80 eV/atom; E_form (uncorrected) = 0.393 eV/atom; space group = Pm
1.0
2.9782 0.0000 0.0000
0.0000 4.9913 0.0000
-0.6235 0.0000 5.6121
Cd Sb Mo
2 1 1
Direct
0.0000 0.0000 0.0000 Cd
0.1312 0.5000 0.7296 Cd
0.6553 0.0000 0.4661 Sb
0.5618 0.5000 0.2317 Mo

***

No. 5
Ta2PIr | the Alexandria database | PBE | relaxed; total energy = -9.75 eV/atom; space group = I4/mmm; ΔE_f = -0.258 eV/atom
1.0
-2.0136 2.0136 3.8819
2.0136 -2.0136 3.8819
2.0136 2.0136 -3.8819
Ta P Ir
2 1 1
Direct
0.2500 0.7500 0.5000 Ta
0.7500 0.2500 0.5000 Ta
0.0000 0.0000 0.0000 P
0.5000 0.5000 0.0000 Ir

***

No. 6
CeCuRh4 | the Alexandria database | PBE | relaxed; total energy = -6.84 eV/atom; space group = F-43m; ΔE_f = -0.266 eV/atom
1.0
0.0000 3.7031 3.7031
3.7031 0.0000 3.7031
3.7031 3.7031 0.0000
Ce Cu Rh
1 1 4
Direct
0.0000 0.0000 0.0000 Ce
0.7500 0.7500 0.7500 Cu
0.3757 0.3757 0.3757 Rh
0.3757 0.3757 0.8730 Rh
0.3757 0.8730 0.3757 Rh
0.8730 0.3757 0.3757 Rh

***

No. 7
Tm6TePb3Se2 | the Alexandria database | PBE | relaxed; total energy = -4.96 eV/atom; E_form (uncorrected) = -0.959 eV/atom; space group = C2/m
1.0
3.7019 -6.3956 0.0000
3.7019 6.3956 0.0000
-2.4702 0.0000 7.0222
Tm Te Pb Se
6 1 3 2
Direct
0.0715 0.4166 0.7486 Tm
0.2347 0.2347 0.2417 Tm
0.4166 0.0715 0.7486 Tm
0.5834 0.9285 0.2514 Tm
0.7653 0.7653 0.7583 Tm
0.9285 0.5834 0.2514 Tm
0.5000 0.5000 0.0000 Te
0.0000 0.0000 0.5000 Pb
0.3398 0.6602 0.5000 Pb
0.6602 0.3398 0.5000 Pb
0.1677 0.8323 0.0000 Se
0.8323 0.1677 0.0000 Se

***

No. 8
CaCrCu | the Alexandria database | PBE | relaxed; total energy = -4.23 eV/atom; space group = F-43m; ΔE_f = 1.008 eV/atom
1.0
0.0000 3.3922 3.3922
3.3922 0.0000 3.3922
3.3922 3.3922 0.0000
Ca Cr Cu
1 1 1
Direct
0.0000 0.0000 0.0000 Ca
0.2500 0.2500 0.2500 Cr
0.7500 0.7500 0.7500 Cu

***

No. 9
Zr6NiPd2 | the Alexandria database | PBE | relaxed; total energy = -7.77 eV/atom; space group = P2_1/c; ΔE_f = -0.274 eV/atom
1.0
5.7203 0.0000 0.0000
0.0000 7.3123 0.0000
-5.3229 0.0000 8.8429
Zr Ni Pd
12 2 4
Direct
0.0812 0.0531 0.2478 Zr
0.0812 0.4469 0.7478 Zr
0.2007 0.7307 0.0614 Zr
0.2007 0.7693 0.5614 Zr
0.3876 0.1544 0.0400 Zr
0.3876 0.3456 0.5400 Zr
0.6124 0.6544 0.4600 Zr
0.6124 0.8456 0.9600 Zr
0.7993 0.2307 0.4386 Zr
0.7993 0.2693 0.9386 Zr
0.9188 0.5531 0.2522 Zr
0.9188 0.9469 0.7522 Zr
0.5000 0.0000 0.5000 Ni
0.5000 0.5000 0.0000 Ni
0.3303 0.0944 0.7127 Pd
0.3303 0.4056 0.2127 Pd
0.6697 0.5944 0.7873 Pd
0.6697 0.9056 0.2873 Pd

***

No. 10
Tb6NiS5 | the Alexandria database | PBE | relaxed; total energy = -6.27 eV/atom; E_form (uncorrected) = -1.750 eV/atom; space group = C2/m
1.0
3.4194 -5.9132 0.0000
3.4194 5.9132 0.0000
-2.2929 0.0000 6.4241
Tb Ni S
6 1 5
Direct
0.0796 0.4063 0.2432 Tb
0.2445 0.2445 0.7533 Tb
0.4063 0.0796 0.2432 Tb
0.5937 0.9204 0.7568 Tb
0.7555 0.7555 0.2467 Tb
0.9204 0.5937 0.7568 Tb
0.0000 0.0000 0.0000 Ni
0.1724 0.8276 0.5000 S
0.3346 0.6654 0.0000 S
0.5000 0.5000 0.5000 S
0.6654 0.3346 0.0000 S
0.8276 0.1724 0.5000 S

***

No. 11
Li2ZrCuSe4 | the Alexandria database | PBE | relaxed; total energy = -4.67 eV/atom; E_form (uncorrected) = -0.873 eV/atom; space group = Cmcm
1.0
1.8281 -6.5241 0.0000
1.8281 6.5241 0.0000
0.0000 0.0000 13.2795
Li Zr Cu Se
4 2 2 8
Direct
0.1227 0.8773 0.5653 Li
0.1227 0.8773 0.9347 Li
0.8773 0.1227 0.0653 Li
0.8773 0.1227 0.4347 Li
0.3947 0.6053 0.7500 Zr
0.6053 0.3947 0.2500 Zr
0.3238 0.6762 0.2500 Cu
0.6762 0.3238 0.7500 Cu
0.0531 0.9469 0.7500 Se
0.1945 0.8055 0.1220 Se
0.1945 0.8055 0.3780 Se
0.5000 0.5000 0.0000 Se
0.5000 0.5000 0.5000 Se
0.8055 0.1945 0.6220 Se
0.8055 0.1945 0.8780 Se
0.9469 0.0531 0.2500 Se

***

No. 12
Ti3AgPd4 | the Alexandria database | PBE | relaxed; total energy = -6.37 eV/atom; space group = Pmma; ΔE_f = -0.454 eV/atom
1.0
9.2359 0.0000 0.0000
0.0000 5.6816 0.0000
0.0000 0.0000 4.8156
Ti Ag Pd
6 2 8
Direct
0.0000 0.0000 0.0000 Ti
0.2500 0.0000 0.3889 Ti
0.2500 0.5000 0.3648 Ti
0.5000 0.0000 0.0000 Ti
0.7500 0.0000 0.6111 Ti
0.7500 0.5000 0.6352 Ti
0.0000 0.5000 0.0000 Ag
0.5000 0.5000 0.0000 Ag
0.0000 0.2462 0.5000 Pd
0.0000 0.7538 0.5000 Pd
0.2500 0.2457 0.8705 Pd
0.2500 0.7543 0.8705 Pd
0.5000 0.2462 0.5000 Pd
0.5000 0.7538 0.5000 Pd
0.7500 0.2457 0.1295 Pd
0.7500 0.7543 0.1295 Pd

***

No. 13
BeCu2Pd3 | the Alexandria database | PBE | relaxed; total energy = -4.88 eV/atom; space group = Cmmm; ΔE_f = -0.294 eV/atom
1.0
2.0710 -6.1921 0.0000
2.0710 6.1921 0.0000
0.0000 0.0000 6.0809
Be Cu Pd
2 4 6
Direct
0.1625 0.8375 0.0000 Be
0.8375 0.1625 0.0000 Be
0.1658 0.8342 0.5000 Cu
0.5000 0.5000 0.0000 Cu
0.5000 0.5000 0.5000 Cu
0.8342 0.1658 0.5000 Cu
0.0000 0.0000 0.2381 Pd
0.0000 0.0000 0.7619 Pd
0.3280 0.6720 0.2298 Pd
0.3280 0.6720 0.7702 Pd
0.6720 0.3280 0.2298 Pd
0.6720 0.3280 0.7702 Pd

***

Total magnetization / μB per formula unit: 0.00; 0.00; 0.00; 0.00; 0.00; 0.00; 0.00; 5.02; 0.00; 0.00; 0.00; 1.22; 0.00